Entry 1:
A geometry-optimized FeReSe2 structure. Source: Alexandria via LeMat-Bulk, functional GGA-PBEsol.

Results
Polymorph energy (0 for the lowest one), eV per atom: 0.5663
ΔE_f (raw), eV/atom: 0.703
V, Å³ per cell: 126.5

Cell: 3.0052 5.2879 7.9589 Å, 90.00 90.00 90.00°
Space group Cmmm (No. 65)
One atom of each set of equivalent atoms:
Fe1 0.0000 0.0000 0.0000 x2
Re1 0.0000 0.0000 0.5000 x2
Se1 0.0000 0.5000 0.2448 x4

***

Entry 2:
A geometry-optimized FeReSe2 structure. Source: Alexandria via LeMat-Bulk, functional GGA-PBEsol.

Results
Polymorph energy (0 for the lowest one), eV per atom: 0.0000
ΔE_f (raw), eV/atom: 0.137
V, Å³ per cell: 153.0

Cell: 3.3372 3.7650 12.1739 Å, 90.00 90.00 90.00°
Space group Immm (No. 71)
One atom of each set of equivalent atoms:
Fe1 0.0000 0.0000 0.0000 x2
Re1 0.0000 0.0000 0.5000 x2
Se1 0.0000 0.5000 0.3609 x4

***

Entry 3:
A geometry-optimized FeReSe2 structure. Source: Alexandria via LeMat-Bulk, functional GGA-PBEsol.

Results
Polymorph energy (0 for the lowest one), eV per atom: 0.6532
ΔE_f (raw), eV/atom: 0.790
V, Å³ per cell: 62.5

Cell: 3.0388 3.9541 5.2019 Å, 90.00 90.00 90.00°
Space group Pmmm (No. 47)
One atom of each set of equivalent atoms:
Fe1 0.0000 0.0000 0.0000 x1
Re1 0.5000 0.0000 0.5000 x1
Se1 0.0000 0.5000 0.5000 x1
Se2 0.5000 0.5000 0.0000 x1

***

Entry 4:
A geometry-optimized Fe2ReSi structure. Source: Alexandria via LeMat-Bulk, functional GGA-PBEsol.

Results
ΔE_f (raw), eV/atom: -0.359
V, Å³ per cell: 44.7

Cell: 2.6715 2.6715 6.2597 Å, 90.00 90.00 90.00°
Space group P4/mmm (No. 123)
One atom of each set of equivalent atoms:
Fe1 0.0000 0.0000 0.2201 x2
Re1 0.5000 0.5000 0.5000 x1
Si1 0.5000 0.5000 0.0000 x1